[1]
Entry from Alexandria via LeMat-Bulk: a geometry-optimized Tm8SiSb2 structure (PBE).

**Total energy**: -4.9551 eV per atom
**Density**: 8.7 g/cm³
**Crystal system**: monoclinic
**Magnetization**: 0.022 μB per formula unit
**Formation energy from raw total energies**: -0.461 eV/atom

abc: 17.935 4.191 8.226
angles: 90.00 93.59 90.00
Space group C2/m (No. 12)
Asymmetric unit:
Tm1 0.011 0.000 0.227 x4
Tm2 0.093 0.500 0.543 x4
Tm3 0.156 0.500 0.030 x4
Tm4 0.208 0.000 0.364 x4
Si1 0.000 0.500 0.000 x2
Sb1 0.179 0.000 0.765 x4

[2]
Entry from Alexandria via LeMat-Bulk: a geometry-optimized AcSmAu2O8 structure (PBE).

**Total energy**: -5.7517 eV per atom
**Density**: 8.5 g/cm³
**Crystal system**: tetragonal
**Magnetization**: 4.053 μB per formula unit
**Formation energy from raw total energies**: -1.164 eV/atom

abc: 5.730 5.730 10.662
angles: 90.00 90.00 90.00
Space group I-4 (No. 82)
Asymmetric unit:
Ac1 0.000 0.000 0.000 x2
Sm1 0.000 0.500 0.250 x2
Au1 0.000 0.000 0.500 x2
Au2 0.000 0.500 0.750 x2
O1 0.096 0.328 0.459 x8
O2 0.130 0.817 0.784 x8

[3]
Entry from Alexandria via LeMat-Bulk: a geometry-optimized LaNF5 structure (PBE).

**Total energy**: -5.2104 eV per atom
**Density**: 3.7 g/cm³
**Crystal system**: monoclinic
**Magnetization**: 1.021 μB per formula unit
**Formation energy from raw total energies**: -1.980 eV/atom

abc: 8.617 11.884 6.016
angles: 90.00 133.48 90.00
Space group C2/c (No. 15)
Asymmetric unit:
La1 0.000 0.102 0.250 x4
N1 0.250 0.250 0.000 x4
F1 0.000 0.174 0.750 x4
F2 0.209 0.001 0.203 x8
F3 0.244 0.252 0.287 x8

[4]
Entry from Alexandria via LeMat-Bulk: a geometry-optimized BaMgSN2 structure (PBE).

**Total energy**: -3.5635 eV per atom
**Density**: 2.8 g/cm³
**Crystal system**: tetragonal
**Magnetization**: 2.301 μB per formula unit
**Formation energy from raw total energies**: 1.296 eV/atom

abc: 4.502 4.502 6.397
angles: 90.00 90.00 90.00
Space group P4/mmm (No. 123)
Asymmetric unit:
Ba1 0.000 0.000 0.000 x1
Mg1 0.500 0.500 0.500 x1
S1 0.000 0.000 0.500 x1
N1 0.000 0.500 0.000 x2